No. 1
Density functional theory data (PBE) for a geometry-optimized CePr2Sm structure.

Values from the calculation:
As for the calculated volume: 34.02 Å³/atom. The electronic total energy comes out at -4.856 eV/atom. The formation enthalpy at 0 K is 0.197 eV per atom. For the energy above the most stable polymorph in this dataset, the calculation gives 130 meV/atom.

abc: 3.518 3.518 12.856
angles: 82.14 82.14 60.00
Last column: magnetic moment on the atom in μB.
Atoms (fractional coordinates):
Pr 0.913 0.913 0.262  -0.02
Ce 0.000 0.000 0.000  0.81
Pr 0.087 0.087 0.738  -0.02
Sm 0.500 0.500 0.500  0.01

***

No. 2
Density functional theory data (PBE) for a geometry-optimized CePr2Sm2 structure.

Values from the calculation:
As for the calculated volume: 36.01 Å³/atom. The electronic total energy comes out at -4.604 eV/atom. The formation enthalpy at 0 K is 0.382 eV per atom.

abc: 4.631 4.631 9.011
angles: 104.89 104.89 90.00
Last column: magnetic moment on the atom in μB.
Atoms (fractional coordinates):
Sm 0.250 0.750 0.500  -0.04
Ce 0.000 0.000 0.000  0.80
Pr 0.407 0.407 0.814  0.00
Sm 0.750 0.250 0.500  -0.04
Pr 0.593 0.593 0.186  0.00

***

No. 3
Density functional theory data (PBE) for a geometry-optimized CePr2Sm structure.

Values from the calculation:
As for the calculated volume: 34.77 Å³/atom. The electronic total energy comes out at -4.850 eV/atom. The formation enthalpy at 0 K is 0.203 eV per atom. For the energy above the most stable polymorph in this dataset, the calculation gives 135 meV/atom.

abc: 5.815 5.815 5.815
angles: 60.00 60.00 60.00
Last column: magnetic moment on the atom in μB.
Atoms (fractional coordinates):
Pr 0.750 0.750 0.750  0.27
Ce 0.000 0.000 0.000  1.10
Sm 0.500 0.500 0.500  0.26
Pr 0.250 0.250 0.250  0.27

***

No. 4
Density functional theory data (PBE) for a geometry-optimized CePr2Sm structure.

Values from the calculation:
As for the calculated volume: 33.74 Å³/atom. The electronic total energy comes out at -4.985 eV/atom. The formation enthalpy at 0 K is 0.068 eV per atom. For the energy above the most stable polymorph in this dataset, the calculation gives 0 meV/atom.

abc: 3.605 3.605 10.383
angles: 90.00 90.00 90.00
Last column: magnetic moment on the atom in μB.
Atoms (fractional coordinates):
Pr 0.000 0.000 0.760  0.00
Sm 0.500 0.500 0.500  0.02
Pr 0.000 0.000 0.240  0.00
Ce 0.500 0.500 0.000  0.53

***

No. 5
Density functional theory data (PBE) for a geometry-optimized CePr4Sm5 structure.

Values from the calculation:
As for the calculated volume: 35.49 Å³/atom. The electronic total energy comes out at -4.628 eV/atom. The formation enthalpy at 0 K is 0.237 eV per atom.

abc: 5.900 12.076 8.223
angles: 135.25 111.02 90.00
Last column: magnetic moment on the atom in μB.
Atoms (fractional coordinates):
Pr 0.429 0.177 0.858  0.03
Sm 0.500 0.500 0.000  -0.03
Pr 0.832 0.620 0.663  0.00
Sm 0.159 0.723 0.319  0.01
Sm 0.841 0.277 0.681  0.01
Pr 0.571 0.823 0.142  0.03
Ce 0.500 0.000 0.000  0.58
Sm 0.852 0.944 0.703  0.02
Pr 0.168 0.380 0.337  0.00
Sm 0.148 0.056 0.297  0.02

***

No. 6
Density functional theory data (PBE) for a geometry-optimized CePr2Sm4 structure.

Values from the calculation:
As for the calculated volume: 34.20 Å³/atom. The electronic total energy comes out at -4.857 eV/atom. The formation enthalpy at 0 K is 0.053 eV per atom.

abc: 3.656 3.658 20.776
angles: 95.09 90.00 119.98
Last column: magnetic moment on the atom in μB.
Atoms (fractional coordinates):
Sm 0.903 0.806 0.949  -0.02
Sm 0.002 0.004 0.240  0.00
Ce 0.809 0.619 0.667  0.79
Sm 0.524 0.047 0.807  0.01
Sm 0.432 0.864 0.528  0.01
Pr 0.714 0.427 0.383  0.00
Pr 0.618 0.236 0.094  -0.01

***

No. 7
Density functional theory data (PBE) for a geometry-optimized CePr3Sm4 structure.

Values from the calculation:
As for the calculated volume: 34.62 Å³/atom. The electronic total energy comes out at -4.668 eV/atom. The formation enthalpy at 0 K is 0.226 eV per atom.

abc: 3.482 6.200 13.004
angles: 95.28 97.69 90.00
Last column: magnetic moment on the atom in μB.
Atoms (fractional coordinates):
Sm 0.279 0.763 0.559  0.00
Sm 0.721 0.237 0.441  0.00
Ce 0.500 0.000 0.000  0.66
Pr 0.145 0.737 0.291  -0.02
Sm 0.895 0.780 0.791  0.02
Pr 0.000 0.500 0.000  0.02
Sm 0.105 0.220 0.209  0.02
Pr 0.855 0.263 0.709  -0.02

***

No. 8
Density functional theory data (PBE) for a geometry-optimized CePr4Sm10 structure.

Values from the calculation:
As for the calculated volume: 34.74 Å³/atom. The electronic total energy comes out at -4.496 eV/atom. The formation enthalpy at 0 K is 0.320 eV per atom.

abc: 10.744 8.795 8.795
angles: 68.10 52.35 52.35
Last column: magnetic moment on the atom in μB.
Atoms (fractional coordinates):
Pr 0.324 0.731 0.622  0.03
Sm 0.460 0.675 0.088  -0.01
Sm 0.452 0.088 0.325  -0.01
Sm 0.548 0.912 0.675  -0.01
Ce 0.000 0.000 0.000  0.97
Pr 0.055 0.622 0.269  0.03
Sm 0.865 0.912 0.675  -0.01
Sm 0.540 0.325 0.912  -0.01
Sm 0.135 0.088 0.325  -0.01
Sm 0.250 0.500 0.500  -0.03
Sm 0.777 0.675 0.088  -0.01
Sm 0.223 0.325 0.912  -0.01
Sm 0.750 0.500 0.500  -0.03
Pr 0.676 0.269 0.378  0.03
Pr 0.945 0.378 0.731  0.03